A plane-wave DFT calculation with PBE-GGA was carried out for an optimized crystal structure of LiMg2I.

a b c (Å): 8.9336 8.9336 6.9821
angles (deg): 50.23 50.23 90.00
With the nearest neighbours (Å) after each atom.
Atoms (fractional coordinates):
I1 0.0000 0.0000 0.0000  2 Li 2.97, 4 Mg 3.15
I2 0.7500 0.2500 0.5000  2 Li 2.97, 4 Mg 3.15
Mg1 0.6401 0.1250 0.2500  2 Mg 2.99, 2 I 3.15, 2 Li 3.34
Mg2 0.3750 0.3599 0.7500  2 Mg 2.99, 2 I 3.15, 2 Li 3.34
Mg3 0.1099 0.6250 0.2500  2 Mg 2.99, 2 I 3.15, 2 Li 3.34
Mg4 0.8750 0.8901 0.7500  2 Mg 2.99, 2 I 3.15, 2 Li 3.34
Li1 0.2500 0.7500 0.5000  2 I 2.97
Li2 0.5000 0.5000 0.0000  2 I 2.97

## Properties
Formation energy from raw total energies   -11.09 kJ/mol of atoms
Symmetry   I-42d
Theoretical density   2.553 Mg/m³
D(E_F)   0.0 states/eV per cell
Energy above the most stable polymorph in this dataset   0.0 kJ/mol of atoms

A plane-wave DFT calculation with PBE-GGA was carried out for an optimized crystal structure of SrZrBe2.

a b c (Å): 3.4258 3.4312 6.8601
angles (deg): 90.00 90.00 90.00
With the nearest neighbours (Å) after each atom.
Atoms (fractional coordinates):
Zr1 0.5000 0.5000 0.7500  8 Be 2.70
Be1 0.0000 0.0000 0.9241  1 Be 2.39
Be2 0.0000 0.0000 0.5759  1 Be 2.39
Sr1 0.5000 0.5000 0.2500  8 Be 3.30, 4 Sr 3.43, 2 Zr 3.43

## Properties
Formation energy   0.24 eV per atom
Symmetry   P4/mmm
Theoretical density   4.054 Mg/m³
D(E_F)   2.5 states/eV per cell
Energy above the most stable polymorph in this dataset   0.0 kJ/mol of atoms

A plane-wave DFT calculation with PBE-GGA was carried out for an optimized crystal structure of Sm2YCd.

a b c (Å): 3.6845 3.6845 9.0091
angles (deg): 90.00 90.00 90.00
With the nearest neighbours (Å) after each atom.
Atoms (fractional coordinates):
Sm1 0.0000 0.0000 0.2249  4 Cd 3.30, 4 Y 3.60, 4 Sm 3.68
Sm2 0.0000 0.0000 0.7751  4 Cd 3.30, 4 Y 3.60, 4 Sm 3.68
Cd1 0.5000 0.5000 0.0000  8 Sm 3.30, 4 Cd 3.68
Y1 0.5000 0.5000 0.5000  8 Sm 3.60, 4 Y 3.68

## Properties
Formation energy   -0.14 eV per atom
Symmetry   P4/mmm
Theoretical density   6.816 Mg/m³
D(E_F)   4.7 states/eV per cell
Energy above the most stable polymorph in this dataset   1.6 kJ/mol of atoms

- What is the D(E_F) in the second record?
  2.5 states/eV per cell